KPmWO5: relaxed, PBE+U.

a b c (Å): 6.5205 6.5205 8.3410
angles (deg): 104.20 104.20 105.61
Fractional coordinates of all 16 atoms:
K1 0.3175 0.6825 0.2500
K2 0.6825 0.3175 0.7500
Pm1 0.0000 0.0000 0.5000
Pm2 0.0000 0.0000 0.0000
W1 0.6808 0.3192 0.2500
W2 0.3192 0.6808 0.7500
O1 0.0740 0.9260 0.2500
O2 0.9260 0.0740 0.7500
O3 0.8760 0.3107 0.1272
O4 0.1240 0.6893 0.8728
O5 0.6893 0.1240 0.3728
O6 0.3107 0.8760 0.6272
O7 0.7554 0.6013 0.4018
O8 0.2446 0.3987 0.5982
O9 0.3987 0.2446 0.0982
O10 0.6013 0.7554 0.9018

Properties
Its density of states at the Fermi level is 0.000 states/eV/cell. As for the total energy: -7.124 eV/atom.